Below is a geometry-optimized CoO4 structure, with properties calculated at the PBE+U level.

The final energy comes out at -4.82 eV/atom.

It has space group P2_1/m (No. 11), with a = 5.368 Å, b = 4.597 Å, c = 5.431 Å, α = 90.00°, β = 107.22° and γ = 90.00°. The inequivalent atoms are Co at (0.193, 0.250, 0.402), O at (0.120, 0.750, 0.556), O at (0.303, 0.505, 0.174) and O at (0.439, 0.750, 0.273).